# 1
! PBE BTeSe2, optimized geometry; values from VASP
! offset from the most stable computed form	55	meV per atom
! DFT total energy	-3.73	eV per atom
! mass density	5.93	g cm⁻³
! formation energy from raw total energies	0.471	eV/atom
&SYSTEM
  ibrav = 0, nat = 4, ntyp = 3
/
ATOMIC_SPECIES
B 10.81 B.upf
Te 127.60 Te.upf
Se 78.96 Se.upf
ATOMIC_POSITIONS crystal
B 0.000 0.000 0.000
Te 0.500 0.500 0.500
Se 0.384 0.384 0.384
Se 0.616 0.616 0.616
CELL_PARAMETERS angstrom
1.715 0.990 8.150
-1.715 0.990 8.150
0.000 -1.980 8.150

=====

# 2
! PBE BTeSe, optimized geometry; values from VASP
! offset from the most stable computed form	0	meV per atom
! DFT total energy	-4.36	eV per atom
! mass density	3.94	g cm⁻³
! formation energy from raw total energies	0.072	eV/atom
&SYSTEM
  ibrav = 0, nat = 12, ntyp = 3
/
ATOMIC_SPECIES
B 10.81 B.upf
Te 127.60 Te.upf
Se 78.96 Se.upf
ATOMIC_POSITIONS crystal
B 0.119 0.024 0.309
B 0.119 0.476 0.809
B 0.881 0.524 0.191
B 0.881 0.976 0.691
Te 0.384 0.198 0.442
Te 0.384 0.302 0.942
Te 0.616 0.698 0.058
Te 0.616 0.802 0.558
Se 0.125 0.679 0.311
Se 0.125 0.821 0.811
Se 0.875 0.179 0.189
Se 0.875 0.321 0.689
CELL_PARAMETERS angstrom
6.982 0.000 0.000
0.000 5.742 0.000
-2.835 0.000 9.146

=====

# 3
! PBE BTeSe2, optimized geometry; values from VASP
! offset from the most stable computed form	0	meV per atom
! DFT total energy	-3.78	eV per atom
! mass density	5.62	g cm⁻³
! formation energy from raw total energies	0.416	eV/atom
&SYSTEM
  ibrav = 0, nat = 8, ntyp = 3
/
ATOMIC_SPECIES
B 10.81 B.upf
Te 127.60 Te.upf
Se 78.96 Se.upf
ATOMIC_POSITIONS crystal
B 0.000 0.000 0.000
B 0.750 0.250 0.500
Te 0.250 0.750 0.500
Te 0.500 0.500 0.000
Se 0.016 0.625 0.891
Se 0.375 0.266 0.391
Se 0.734 0.125 0.109
Se 0.875 0.984 0.609
CELL_PARAMETERS angstrom
-3.218 3.218 4.228
3.218 -3.218 4.228
3.218 3.218 -4.228

=====

# 4
! PBE BTeSe2, optimized geometry; values from VASP
! offset from the most stable computed form	762	meV per atom
! DFT total energy	-3.02	eV per atom
! mass density	6.17	g cm⁻³
! formation energy from raw total energies	1.179	eV/atom
&SYSTEM
  ibrav = 0, nat = 4, ntyp = 3
/
ATOMIC_SPECIES
B 10.81 B.upf
Te 127.60 Te.upf
Se 78.96 Se.upf
ATOMIC_POSITIONS crystal
B 0.000 0.000 0.000
Te 0.500 0.500 0.500
Se 0.250 0.250 0.250
Se 0.750 0.750 0.750
CELL_PARAMETERS angstrom
0.000 3.416 3.416
3.416 0.000 3.416
3.416 3.416 0.000

=====

What did the second record say?
! PBE BTeSe, optimized geometry; values from VASP
! offset from the most stable computed form	0	meV per atom
! DFT total energy	-4.36	eV per atom
! mass density	3.94	g cm⁻³
! formation energy from raw total energies	0.072	eV/atom
&SYSTEM
  ibrav = 0, nat = 12, ntyp = 3
/
ATOMIC_SPECIES
B 10.81 B.upf
Te 127.60 Te.upf
Se 78.96 Se.upf
ATOMIC_POSITIONS crystal
B 0.119 0.024 0.309
B 0.119 0.476 0.809
B 0.881 0.524 0.191
B 0.881 0.976 0.691
Te 0.384 0.198 0.442
Te 0.384 0.302 0.942
Te 0.616 0.698 0.058
Te 0.616 0.802 0.558
Se 0.125 0.679 0.311
Se 0.125 0.821 0.811
Se 0.875 0.179 0.189
Se 0.875 0.321 0.689
CELL_PARAMETERS angstrom
6.982 0.000 0.000
0.000 5.742 0.000
-2.835 0.000 9.146

=====

Copy entry 4 word for word.
! PBE BTeSe2, optimized geometry; values from VASP
! offset from the most stable computed form	762	meV per atom
! DFT total energy	-3.02	eV per atom
! mass density	6.17	g cm⁻³
! formation energy from raw total energies	1.179	eV/atom
&SYSTEM
  ibrav = 0, nat = 4, ntyp = 3
/
ATOMIC_SPECIES
B 10.81 B.upf
Te 127.60 Te.upf
Se 78.96 Se.upf
ATOMIC_POSITIONS crystal
B 0.000 0.000 0.000
Te 0.500 0.500 0.500
Se 0.250 0.250 0.250
Se 0.750 0.750 0.750
CELL_PARAMETERS angstrom
0.000 3.416 3.416
3.416 0.000 3.416
3.416 3.416 0.000